5
Lattice="4.143 0.000 0.000 0.000 4.143 0.000 0.000 0.000 4.292" Properties=species:S:1:pos:R:3 comment="NiSbO2F PBE+U optimized geometry" total_energy_ry_per_atom=-0.31298 pbc="T T T"
Ni 0.000 0.000 0.000
Sb 2.072 2.072 2.146
O 0.000 2.072 2.146
O 2.072 0.000 2.146
F 2.072 2.072 0.000